Record 1
# RhSe2 (GGA-PBE, optimized geometry)
data_RhSe2
_cell_length_a 6.0951
_cell_length_b 6.0952
_cell_length_c 6.0950
_cell_angle_alpha 90.00
_cell_angle_beta 90.00
_cell_angle_gamma 90.00
_space_group_name_H-M_alt 'P 1'
_space_group_IT_number 1
_space_group_name_Hall 'P 1'
loop_
_atom_site_label
_atom_site_type_symbol
_atom_site_fract_x
_atom_site_fract_y
_atom_site_fract_z
_atom_site_occupancy
Rh1 Rh 0.5000 0.0000 0.5000 1
Rh2 Rh 0.0000 0.5000 0.5000 1
Rh3 Rh 0.5000 0.5000 0.0000 1
Rh4 Rh 0.0000 0.0000 0.0000 1
Se1 Se 0.6212 0.1212 0.1212 1
Se2 Se 0.1212 0.3788 0.8788 1
Se3 Se 0.3788 0.6212 0.3788 1
Se4 Se 0.8788 0.8788 0.6212 1
Se5 Se 0.1212 0.1212 0.3788 1
Se6 Se 0.6212 0.3788 0.6212 1
Se7 Se 0.8788 0.6212 0.1212 1
Se8 Se 0.3788 0.8788 0.8788 1
# Formation energy (no corrections) ... -0.40 eV/atom
# Magnetization ... 0.000 μB/f.u.
# Total energy ... -5.1770 eV per atom
# SG ... Pa-3

***

Record 2
# RhSe3 (GGA-PBE, optimized geometry)
data_RhSe3
_cell_length_a 3.7423
_cell_length_b 3.7423
_cell_length_c 7.9399
_cell_angle_alpha 103.74
_cell_angle_beta 103.74
_cell_angle_gamma 59.72
_space_group_name_H-M_alt 'P 1'
_space_group_IT_number 1
_space_group_name_Hall 'P 1'
loop_
_atom_site_label
_atom_site_type_symbol
_atom_site_fract_x
_atom_site_fract_y
_atom_site_fract_z
_atom_site_occupancy
Rh1 Rh 0.0000 0.0000 0.0000 1
Se1 Se 0.5000 0.5000 0.5000 1
Se2 Se 0.6115 0.6115 0.8326 1
Se3 Se 0.3885 0.3885 0.1674 1
# Formation energy (no corrections) ... -0.15 eV/atom
# Magnetization ... 0.000 μB/f.u.
# Total energy ... -4.5981 eV per atom
# SG ... C2/m

***

Record 3
# Rh3Se2 (GGA-PBE, optimized geometry)
data_Rh3Se2
_cell_length_a 4.1363
_cell_length_b 4.1363
_cell_length_c 5.6983
_cell_angle_alpha 90.00
_cell_angle_beta 90.00
_cell_angle_gamma 120.00
_space_group_name_H-M_alt 'P 1'
_space_group_IT_number 1
_space_group_name_Hall 'P 1'
loop_
_atom_site_label
_atom_site_type_symbol
_atom_site_fract_x
_atom_site_fract_y
_atom_site_fract_z
_atom_site_occupancy
Rh1 Rh 0.0000 0.0000 0.0000 1
Rh2 Rh 0.6667 0.3333 0.6546 1
Rh3 Rh 0.3333 0.6667 0.3454 1
Se1 Se 0.6667 0.3333 0.2222 1
Se2 Se 0.3333 0.6667 0.7778 1
# Formation energy (no corrections) ... 0.02 eV/atom
# Magnetization ... 0.782 μB/f.u.
# Total energy ... -5.7846 eV per atom
# SG ... P-3m1

***

Record 4
# RhSe5 (GGA-PBE, optimized geometry)
data_RhSe5
_cell_length_a 6.4467
_cell_length_b 6.4467
_cell_length_c 3.5077
_cell_angle_alpha 90.00
_cell_angle_beta 90.00
_cell_angle_gamma 120.00
_space_group_name_H-M_alt 'P 1'
_space_group_IT_number 1
_space_group_name_Hall 'P 1'
loop_
_atom_site_label
_atom_site_type_symbol
_atom_site_fract_x
_atom_site_fract_y
_atom_site_fract_z
_atom_site_occupancy
Rh1 Rh 0.0000 0.0000 0.5000 1
Se1 Se 0.7109 0.0000 0.0000 1
Se2 Se 0.2891 0.2891 0.0000 1
Se3 Se 0.0000 0.7109 0.0000 1
Se4 Se 0.6667 0.3333 0.5000 1
Se5 Se 0.3333 0.6667 0.5000 1
# Formation energy (no corrections) ... 0.22 eV/atom
# Magnetization ... 0.000 μB/f.u.
# Total energy ... -3.9045 eV per atom
# SG ... P-62m

***

Record 5
# Rh3Se (GGA-PBE, optimized geometry)
data_Rh3Se
_cell_length_a 4.5855
_cell_length_b 4.5855
_cell_length_c 4.5855
_cell_angle_alpha 90.00
_cell_angle_beta 90.00
_cell_angle_gamma 90.00
_space_group_name_H-M_alt 'P 1'
_space_group_IT_number 1
_space_group_name_Hall 'P 1'
loop_
_atom_site_label
_atom_site_type_symbol
_atom_site_fract_x
_atom_site_fract_y
_atom_site_fract_z
_atom_site_occupancy
Rh1 Rh 0.5000 0.0000 0.0000 1
Rh2 Rh 0.0000 0.5000 0.0000 1
Rh3 Rh 0.0000 0.0000 0.5000 1
Se1 Se 0.0000 0.0000 0.0000 1
# Formation energy (no corrections) ... 1.01 eV/atom
# Magnetization ... 0.512 μB/f.u.
# Total energy ... -5.3751 eV per atom
# SG ... Pm-3m

***

Record 6
# Rh3Se (GGA-PBE, optimized geometry)
data_Rh3Se
_cell_length_a 4.7154
_cell_length_b 4.7154
_cell_length_c 4.7154
_cell_angle_alpha 130.20
_cell_angle_beta 130.20
_cell_angle_gamma 73.09
_space_group_name_H-M_alt 'P 1'
_space_group_IT_number 1
_space_group_name_Hall 'P 1'
loop_
_atom_site_label
_atom_site_type_symbol
_atom_site_fract_x
_atom_site_fract_y
_atom_site_fract_z
_atom_site_occupancy
Rh1 Rh 0.2500 0.7500 0.5000 1
Rh2 Rh 0.5000 0.5000 0.0000 1
Rh3 Rh 0.7500 0.2500 0.5000 1
Se1 Se 0.0000 0.0000 0.0000 1
# Formation energy (no corrections) ... 0.18 eV/atom
# Magnetization ... 0.005 μB/f.u.
# Total energy ... -6.2044 eV per atom
# SG ... I4/mmm

***

Record 7
# Rh5Se (GGA-PBE, optimized geometry)
data_Rh5Se
_cell_length_a 4.7873
_cell_length_b 4.7873
_cell_length_c 4.4315
_cell_angle_alpha 90.00
_cell_angle_beta 90.00
_cell_angle_gamma 120.00
_space_group_name_H-M_alt 'P 1'
_space_group_IT_number 1
_space_group_name_Hall 'P 1'
loop_
_atom_site_label
_atom_site_type_symbol
_atom_site_fract_x
_atom_site_fract_y
_atom_site_fract_z
_atom_site_occupancy
Rh1 Rh 0.6561 0.0000 0.0000 1
Rh2 Rh 0.3439 0.3439 0.0000 1
Rh3 Rh 0.0000 0.6561 0.0000 1
Rh4 Rh 0.6667 0.3333 0.5000 1
Rh5 Rh 0.3333 0.6667 0.5000 1
Se1 Se 0.0000 0.0000 0.5000 1
# Formation energy (no corrections) ... 0.13 eV/atom
# Magnetization ... 0.002 μB/f.u.
# Total energy ... -6.5804 eV per atom
# SG ... P-62m

***

Record 8
# RhSe2 (GGA-PBE, optimized geometry)
data_RhSe2
_cell_length_a 5.1302
_cell_length_b 6.5216
_cell_length_c 7.1003
_cell_angle_alpha 90.00
_cell_angle_beta 90.00
_cell_angle_gamma 90.00
_space_group_name_H-M_alt 'P 1'
_space_group_IT_number 1
_space_group_name_Hall 'P 1'
loop_
_atom_site_label
_atom_site_type_symbol
_atom_site_fract_x
_atom_site_fract_y
_atom_site_fract_z
_atom_site_occupancy
Rh1 Rh 0.0000 0.7500 0.1452 1
Rh2 Rh 0.0000 0.2500 0.8548 1
Rh3 Rh 0.5000 0.2500 0.3548 1
Rh4 Rh 0.5000 0.7500 0.6452 1
Se1 Se 0.2741 0.4365 0.0940 1
Se2 Se 0.7259 0.0635 0.0940 1
Se3 Se 0.7741 0.5635 0.4060 1
Se4 Se 0.7741 0.0635 0.5940 1
Se5 Se 0.7259 0.5635 0.9060 1
Se6 Se 0.2741 0.9365 0.9060 1
Se7 Se 0.2259 0.4365 0.5940 1
Se8 Se 0.2259 0.9365 0.4060 1
# Formation energy (no corrections) ... -0.38 eV/atom
# Magnetization ... 0.000 μB/f.u.
# Total energy ... -5.1551 eV per atom
# SG ... Pbcn

***

Record 9
# RhSe5 (GGA-PBE, optimized geometry)
data_RhSe5
_cell_length_a 6.8591
_cell_length_b 6.8591
_cell_length_c 5.3753
_cell_angle_alpha 90.00
_cell_angle_beta 90.00
_cell_angle_gamma 148.34
_space_group_name_H-M_alt 'P 1'
_space_group_IT_number 1
_space_group_name_Hall 'P 1'
loop_
_atom_site_label
_atom_site_type_symbol
_atom_site_fract_x
_atom_site_fract_y
_atom_site_fract_z
_atom_site_occupancy
Rh1 Rh 0.0555 0.9445 0.0000 1
Se1 Se 0.4289 0.5711 0.0000 1
Se2 Se 0.6821 0.3179 0.0000 1
Se3 Se 0.4101 0.5899 0.5000 1
Se4 Se 0.7012 0.2988 0.5000 1
Se5 Se 0.0556 0.9444 0.5000 1
# Formation energy (no corrections) ... -0.12 eV/atom
# Magnetization ... 0.000 μB/f.u.
# Total energy ... -4.2504 eV per atom
# SG ... Cmmm

***

Record 10
# Rh3Se (GGA-PBE, optimized geometry)
data_Rh3Se
_cell_length_a 2.8741
_cell_length_b 3.6840
_cell_length_c 5.6440
_cell_angle_alpha 90.00
_cell_angle_beta 90.00
_cell_angle_gamma 90.00
_space_group_name_H-M_alt 'P 1'
_space_group_IT_number 1
_space_group_name_Hall 'P 1'
loop_
_atom_site_label
_atom_site_type_symbol
_atom_site_fract_x
_atom_site_fract_y
_atom_site_fract_z
_atom_site_occupancy
Rh1 Rh 0.5000 0.5000 0.7450 1
Rh2 Rh 0.0000 0.0000 0.5000 1
Rh3 Rh 0.5000 0.5000 0.2550 1
Se1 Se 0.0000 0.0000 0.0000 1
# Formation energy (no corrections) ... 0.14 eV/atom
# Magnetization ... 0.001 μB/f.u.
# Total energy ... -6.2420 eV per atom
# SG ... Pmmm

***

Record 11
# Rh3Se (GGA-PBE, optimized geometry)
data_Rh3Se
_cell_length_a 3.8974
_cell_length_b 3.8974
_cell_length_c 3.8974
_cell_angle_alpha 90.00
_cell_angle_beta 90.00
_cell_angle_gamma 90.00
_space_group_name_H-M_alt 'P 1'
_space_group_IT_number 1
_space_group_name_Hall 'P 1'
loop_
_atom_site_label
_atom_site_type_symbol
_atom_site_fract_x
_atom_site_fract_y
_atom_site_fract_z
_atom_site_occupancy
Rh1 Rh 0.0000 0.5000 0.5000 1
Rh2 Rh 0.5000 0.0000 0.5000 1
Rh3 Rh 0.5000 0.5000 0.0000 1
Se1 Se 0.0000 0.0000 0.0000 1
# Formation energy (no corrections) ... 0.16 eV/atom
# Magnetization ... 0.000 μB/f.u.
# Total energy ... -6.2283 eV per atom
# SG ... Pm-3m

***

Record 12
# Rh2Se (GGA-PBE, optimized geometry)
data_Rh2Se
_cell_length_a 5.1528
_cell_length_b 5.1528
_cell_length_c 6.5471
_cell_angle_alpha 72.49
_cell_angle_beta 72.49
_cell_angle_gamma 34.00
_space_group_name_H-M_alt 'P 1'
_space_group_IT_number 1
_space_group_name_Hall 'P 1'
loop_
_atom_site_label
_atom_site_type_symbol
_atom_site_fract_x
_atom_site_fract_y
_atom_site_fract_z
_atom_site_occupancy
Rh1 Rh 0.1621 0.1621 0.8846 1
Rh2 Rh 0.8517 0.8517 0.5394 1
Rh3 Rh 0.8379 0.8379 0.1154 1
Rh4 Rh 0.1483 0.1483 0.4606 1
Se1 Se 0.5587 0.5587 0.2118 1
Se2 Se 0.4413 0.4413 0.7882 1
# Formation energy (no corrections) ... 0.09 eV/atom
# Magnetization ... 0.003 μB/f.u.
# Total energy ... -5.9708 eV per atom
# SG ... C2/m

***

Number 1 is which compound?
RhSe2

***

Which of these has the highest formation energy (no corrections)?
number 5